## A
# LaCo2Bi2

Crystalline LaCo2Bi2 at its relaxed geometry (PBE-GGA, Alexandria via LeMat-Bulk).

Lattice parameters (Å, degrees): 4.819 4.819 9.791 90.00 90.00 90.00
Space group I4/mmm (No. 139)
Inequivalent atoms, fractional coordinates:
La  0.000  0.000  0.000 x2
Co  0.000  0.000  0.385 x4
Bi  0.000  0.500  0.250 x4



## B
# LaCo2Bi2

Crystalline LaCo2Bi2 at its relaxed geometry (PBE-GGA, Alexandria via LeMat-Bulk).

Lattice parameters (Å, degrees): 7.529 7.529 3.954 90.00 90.00 90.00
Space group P4/mbm (No. 127)
Inequivalent atoms, fractional coordinates:
La  0.000  0.000  0.000 x2
Co  0.108  0.392  0.000 x4
Bi  0.170  0.670  0.500 x4



Most favorable structure: A. The second most favorable one is 135 meV/atom above it.



## A
# LiCo2BiN

Crystalline LiCo2BiN at its relaxed geometry (PBE-GGA, Alexandria via LeMat-Bulk).

Lattice parameters (Å, degrees): 3.840 3.840 4.341 90.00 90.00 90.00
Space group P4/mmm (No. 123)
Inequivalent atoms, fractional coordinates:
Li  0.000  0.000  0.000 x1
Co  0.000  0.500  0.500 x2
Bi  0.500  0.500  0.000 x1
N  0.000  0.000  0.500 x1



## B
# LiCo2BiN

Crystalline LiCo2BiN at its relaxed geometry (PBE-GGA, Alexandria via LeMat-Bulk).

Lattice parameters (Å, degrees): 3.975 3.975 4.781 90.00 90.00 90.00
Space group P4/mmm (No. 123)
Inequivalent atoms, fractional coordinates:
Li  0.000  0.000  0.000 x1
Co  0.000  0.500  0.000 x2
Bi  0.000  0.000  0.500 x1
N  0.500  0.500  0.500 x1



Most favorable structure: A. The second most favorable one is 1697 meV/atom above it.



## A
# Mg3CoBi

Crystalline Mg3CoBi at its relaxed geometry (PBE-GGA, Alexandria via LeMat-Bulk).

Lattice parameters (Å, degrees): 4.870 4.870 4.870 90.00 90.00 90.00
Space group Pm-3m (No. 221)
Inequivalent atoms, fractional coordinates:
Mg  0.000  0.000  0.500 x3
Co  0.000  0.000  0.000 x1
Bi  0.500  0.500  0.500 x1



## B
# Mg3CoBi

Crystalline Mg3CoBi at its relaxed geometry (PBE-GGA, Alexandria via LeMat-Bulk).

Lattice parameters (Å, degrees): 5.481 5.481 5.481 90.00 90.00 90.00
Space group Pm-3m (No. 221)
Inequivalent atoms, fractional coordinates:
Mg  0.000  0.000  0.500 x3
Co  0.500  0.500  0.500 x1
Bi  0.000  0.000  0.000 x1



Most favorable structure: A. The second most favorable one is 766 meV/atom above it.



## A
# TaMnCoBi2

Crystalline TaMnCoBi2 at its relaxed geometry (PBE-GGA, Alexandria via LeMat-Bulk).

Lattice parameters (Å, degrees): 4.978 4.978 4.632 90.00 90.00 90.00
Space group P4/mmm (No. 123)
Inequivalent atoms, fractional coordinates:
Ta  0.000  0.000  0.000 x1
Mn  0.000  0.000  0.500 x1
Co  0.500  0.500  0.000 x1
Bi  0.000  0.500  0.500 x2



## B
# TaMnCoBi2

Crystalline TaMnCoBi2 at its relaxed geometry (PBE-GGA, Alexandria via LeMat-Bulk).

Lattice parameters (Å, degrees): 5.005 5.005 4.495 90.00 90.00 90.00
Space group P4/mmm (No. 123)
Inequivalent atoms, fractional coordinates:
Ta  0.000  0.000  0.000 x1
Mn  0.500  0.500  0.000 x1
Co  0.500  0.500  0.500 x1
Bi  0.000  0.500  0.500 x2



Most favorable structure: B. The second most favorable one is 179 meV/atom above it.



## A
# CoBi2Mo

Crystalline CoBi2Mo at its relaxed geometry (PBE-GGA, Alexandria via LeMat-Bulk).

Lattice parameters (Å, degrees): 7.547 7.547 6.254 90.00 90.00 90.00
Space group I-42d (No. 122)
Inequivalent atoms, fractional coordinates:
Co  0.000  0.000  0.000 x4
Bi  0.210  0.250  0.125 x8
Mo  0.000  0.000  0.500 x4



## B
# CoBi2Mo

Crystalline CoBi2Mo at its relaxed geometry (PBE-GGA, Alexandria via LeMat-Bulk).

Lattice parameters (Å, degrees): 6.801 6.801 6.801 90.00 90.00 90.00
Space group Fm-3m (No. 225)
Inequivalent atoms, fractional coordinates:
Co  0.000  0.000  0.000 x4
Bi  0.250  0.250  0.250 x8
Mo  0.000  0.000  0.500 x4



Most favorable structure: B. The second most favorable one is 240 meV/atom above it.



## A
# CoBi3N

Crystalline CoBi3N at its relaxed geometry (PBE-GGA, Alexandria via LeMat-Bulk).

Lattice parameters (Å, degrees): 5.000 5.000 5.000 90.00 90.00 90.00
Space group Pm-3m (No. 221)
Inequivalent atoms, fractional coordinates:
Co  0.000  0.000  0.000 x1
Bi  0.000  0.000  0.500 x3
N  0.500  0.500  0.500 x1



## B
# CoBi3N

Crystalline CoBi3N at its relaxed geometry (PBE-GGA, Alexandria via LeMat-Bulk).

Lattice parameters (Å, degrees): 4.858 4.858 4.858 90.00 90.00 90.00
Space group Pm-3m (No. 221)
Inequivalent atoms, fractional coordinates:
Co  0.000  0.000  0.000 x1
Bi  0.000  0.500  0.500 x3
N  0.500  0.500  0.500 x1



Most favorable structure: B. The second most favorable one is 394 meV/atom above it.



## A
# CoBiSeN2

Crystalline CoBiSeN2 at its relaxed geometry (PBE-GGA, Alexandria via LeMat-Bulk).

Lattice parameters (Å, degrees): 4.248 4.248 5.809 90.00 90.00 90.00
Space group P4/mmm (No. 123)
Inequivalent atoms, fractional coordinates:
Co  0.000  0.000  0.000 x1
Bi  0.500  0.500  0.500 x1
Se  0.500  0.500  0.000 x1
N  0.000  0.500  0.500 x2



## B
# CoBiSeN2

Crystalline CoBiSeN2 at its relaxed geometry (PBE-GGA, Alexandria via LeMat-Bulk).

Lattice parameters (Å, degrees): 3.957 3.957 4.871 90.00 90.00 90.00
Space group P4/mmm (No. 123)
Inequivalent atoms, fractional coordinates:
Co  0.000  0.000  0.000 x1
Bi  0.500  0.500  0.500 x1
Se  0.000  0.000  0.500 x1
N  0.000  0.500  0.000 x2



Most favorable structure: B. The second most favorable one is 884 meV/atom above it.



## A
# Sr2CoBiN

Crystalline Sr2CoBiN at its relaxed geometry (PBE-GGA, Alexandria via LeMat-Bulk).

Lattice parameters (Å, degrees): 5.793 5.793 3.558 90.00 90.00 90.00
Space group P4/mmm (No. 123)
Inequivalent atoms, fractional coordinates:
Sr  0.000  0.500  0.000 x2
Co  0.000  0.000  0.500 x1
Bi  0.500  0.500  0.500 x1
N  0.000  0.000  0.000 x1



## B
# Sr2CoBiN

Crystalline Sr2CoBiN at its relaxed geometry (PBE-GGA, Alexandria via LeMat-Bulk).

Lattice parameters (Å, degrees): 5.140 5.140 4.824 90.00 90.00 90.00
Space group P4/mmm (No. 123)
Inequivalent atoms, fractional coordinates:
Sr  0.000  0.500  0.000 x2
Co  0.000  0.000  0.500 x1
Bi  0.500  0.500  0.500 x1
N  0.500  0.500  0.000 x1



Most favorable structure: A. The second most favorable one is 683 meV/atom above it.